# 1
Below is a relaxed DyCo6B4 crystal, with properties calculated at the PBE-GGA level.

For the density of states at the Fermi level, the calculation gives 0.975 states/eV/atom. The calculation puts the electronic total energy at -77.12 eV per formula unit. Its space-group type is P-6m2, No. 187.

abc: 6.134 6.134 3.269
angles: 90.00 90.00 120.00
Fractional coordinates of all 11 atoms:
Dy1 0.000 0.000 0.000
Co1 0.203 0.407 0.500
Co2 0.203 0.797 0.500
Co3 0.535 0.070 0.000
Co4 0.535 0.465 0.000
Co5 0.593 0.797 0.500
Co6 0.930 0.465 0.000
B1 0.333 0.667 0.000
B2 0.423 0.212 0.500
B3 0.788 0.212 0.500
B4 0.788 0.577 0.500

# 2
Below is a relaxed DyCo4B crystal, with properties calculated at the PBE-GGA level.

For the density of states at the Fermi level, the calculation gives 0.937 states/eV/atom. The calculation puts the electronic total energy at -40.51 eV per formula unit. Its space-group type is Cmcm, No. 63.

abc: 7.028 7.028 5.507
angles: 90.00 90.00 146.65
Fractional coordinates of all 12 atoms:
Dy1 0.095 0.905 0.750
Dy2 0.905 0.095 0.250
Co1 0.128 0.872 0.250
Co2 0.293 0.707 0.003
Co3 0.293 0.707 0.497
Co4 0.500 0.500 0.000
Co5 0.500 0.500 0.500
Co6 0.707 0.293 0.503
Co7 0.707 0.293 0.997
Co8 0.872 0.128 0.750
B1 0.396 0.604 0.750
B2 0.604 0.396 0.250

# 3
Below is a relaxed Dy2Co12B7 crystal, with properties calculated at the PBE-GGA level.

For the density of states at the Fermi level, the calculation gives 1.020 states/eV/atom. The calculation puts the electronic total energy at -148.24 eV per formula unit. Its space-group type is P-6, No. 174.

abc: 8.459 8.459 3.391
angles: 90.00 90.00 120.00
Fractional coordinates of all 21 atoms:
Dy1 0.000 0.000 0.000
Dy2 0.333 0.667 0.500
Co1 0.054 0.288 0.500
Co2 0.091 0.703 0.000
Co3 0.234 0.946 0.500
Co4 0.297 0.388 0.000
Co5 0.397 0.179 0.000
Co6 0.549 0.428 0.500
Co7 0.572 0.121 0.500
Co8 0.612 0.909 0.000
Co9 0.712 0.766 0.500
Co10 0.782 0.603 0.000
Co11 0.821 0.218 0.000
Co12 0.879 0.451 0.500
B1 0.070 0.438 0.000
B2 0.279 0.231 0.500
B3 0.368 0.930 0.000
B4 0.562 0.632 0.000
B5 0.667 0.333 0.000
B6 0.769 0.047 0.500
B7 0.953 0.721 0.500

# 4
Below is a relaxed Dy2Co3B4 crystal, with properties calculated at the PBE-GGA level.

For the density of states at the Fermi level, the calculation gives 0.672 states/eV/atom. The calculation puts the electronic total energy at -57.70 eV per formula unit. Its space-group type is Fmmm, No. 69.

abc: 7.112 6.279 4.810
angles: 78.55 59.93 41.52
Fractional coordinates of all 9 atoms:
Dy1 0.149 0.149 0.851
Dy2 0.851 0.851 0.149
Co1 0.000 0.000 0.500
Co2 0.500 0.500 0.000
Co3 0.500 0.500 0.500
B1 0.209 0.544 0.456
B2 0.456 0.791 0.209
B3 0.544 0.209 0.791
B4 0.791 0.456 0.544

# 5
Below is a relaxed DyCo7B2 crystal, with properties calculated at the PBE-GGA level.

For the density of states at the Fermi level, the calculation gives 1.337 states/eV/atom. The calculation puts the electronic total energy at -66.56 eV per formula unit. Its space-group type is Cmmm, No. 65.

abc: 5.905 5.905 4.014
angles: 90.00 90.00 116.83
Fractional coordinates of all 10 atoms:
Dy1 0.000 0.000 0.000
Co1 0.057 0.334 0.500
Co2 0.303 0.697 0.000
Co3 0.334 0.057 0.500
Co4 0.500 0.500 0.500
Co5 0.666 0.943 0.500
Co6 0.697 0.303 0.000
Co7 0.943 0.666 0.500
B1 0.298 0.702 0.500
B2 0.702 0.298 0.500

# 6
Below is a relaxed DyFe2Co2B crystal, with properties calculated at the PBE-GGA level.

For the density of states at the Fermi level, the calculation gives 0.881 states/eV/atom. The calculation puts the electronic total energy at -44.17 eV per formula unit. Its space-group type is Cmm2, No. 35.

abc: 5.058 5.058 6.864
angles: 90.00 90.00 120.39
Fractional coordinates of all 12 atoms:
Dy1 0.000 0.000 0.000
Dy2 0.000 0.000 0.493
Fe1 0.000 0.500 0.780
Fe2 0.332 0.668 0.490
Fe3 0.500 0.000 0.780
Fe4 0.668 0.332 0.490
Co1 0.000 0.500 0.204
Co2 0.500 0.000 0.204
Co3 0.500 0.500 0.206
Co4 0.500 0.500 0.779
B1 0.336 0.664 0.996
B2 0.664 0.336 0.996

# 7
Below is a relaxed Dy2FeCo3B12 crystal, with properties calculated at the PBE-GGA level.

For the density of states at the Fermi level, the calculation gives 0.639 states/eV/atom. The calculation puts the electronic total energy at -119.21 eV per formula unit. Its space-group type is R-3m, No. 166.

abc: 8.011 8.011 8.011
angles: 38.91 38.91 38.91
Fractional coordinates of all 18 atoms:
Dy1 0.141 0.141 0.141
Dy2 0.859 0.859 0.859
Fe1 0.500 0.500 0.500
Co1 0.000 0.500 0.500
Co2 0.500 0.000 0.500
Co3 0.500 0.500 0.000
B1 0.155 0.155 0.475
B2 0.155 0.475 0.155
B3 0.182 0.549 0.549
B4 0.451 0.451 0.818
B5 0.451 0.818 0.451
B6 0.475 0.155 0.155
B7 0.525 0.845 0.845
B8 0.549 0.182 0.549
B9 0.549 0.549 0.182
B10 0.818 0.451 0.451
B11 0.845 0.525 0.845
B12 0.845 0.845 0.525

# 8
Below is a relaxed DyFeCoB2 crystal, with properties calculated at the PBE-GGA level.

For the density of states at the Fermi level, the calculation gives 0.362 states/eV/atom. The calculation puts the electronic total energy at -36.11 eV per formula unit. Its space-group type is I-4m2, No. 119.

abc: 5.281 5.281 5.281
angles: 140.00 140.00 57.85
Fractional coordinates of all 5 atoms:
Dy1 0.000 0.000 0.000
Fe1 0.750 0.250 0.500
Co1 0.250 0.750 0.500
B1 0.340 0.340 0.000
B2 0.660 0.660 0.000